A geometry-optimized DyNpPa2N6 structure. Source: Alexandria, functional GGA-PBE.

Cell lengths 6.002, 6.002, 6.002 Å; angles 59.53, 59.53, 59.53 degrees
Fractional positions:
Dy: 0.000 0.000 0.000
Np: 0.489 0.489 0.489
Pa: 0.270 0.270 0.270
Pa: 0.774 0.774 0.774
N: 0.102 0.653 0.397
N: 0.175 0.585 0.874
N: 0.397 0.102 0.653
N: 0.585 0.874 0.175
N: 0.653 0.397 0.102
N: 0.874 0.175 0.585

symmetry	R3 (146)
formation energy from raw total energies	-1.421	eV per atom